No. 1
The following is a DFT calculation (PBE-GGA) of a geometry-optimized Sr2Cu3Sn5 structure.

Cell lengths 6.572, 9.268, 9.268 Å; angles 75.23, 69.24, 69.24 degrees
Positions (direct):
Sn  0.001  0.749  0.749
Sn  0.604  0.751  0.041
Sn  0.499  0.251  0.251
Sn  0.750  0.500  0.500
Sn  0.501  0.749  0.749
Sn  0.250  0.500  0.500
Sn  0.104  0.041  0.751
Sn  0.999  0.251  0.251
Sn  0.396  0.249  0.959
Sn  0.896  0.959  0.249
Sr  0.132  0.616  0.119
Sr  0.368  0.881  0.384
Sr  0.632  0.119  0.616
Sr  0.868  0.384  0.881
Cu  0.127  0.246  0.500
Cu  0.627  0.500  0.246
Cu  0.750  0.000  0.000
Cu  0.873  0.754  0.500
Cu  0.373  0.500  0.754
Cu  0.250  0.000  0.000

Energy   -3.897 eV/atom
Formation energy   -3.300 eV/f.u.
M_tot   0.0 μB per formula unit


No. 2
The following is a DFT calculation (PBE-GGA) of a geometry-optimized SrCuSn2 structure.

Cell lengths 5.256, 5.256, 5.256 Å; angles 60.00, 60.00, 60.00 degrees
Positions (direct):
Cu  0.000  0.000  0.000
Sn  0.250  0.250  0.250
Sn  0.750  0.750  0.750
Sr  0.500  0.500  0.500

Energy   -3.483 eV/atom
Formation energy   -0.148 eV/f.u.
M_tot   0.0 μB per formula unit


Copy entry 1 word for word.
The following is a DFT calculation (PBE-GGA) of a geometry-optimized Sr2Cu3Sn5 structure.

Cell lengths 6.572, 9.268, 9.268 Å; angles 75.23, 69.24, 69.24 degrees
Positions (direct):
Sn  0.001  0.749  0.749
Sn  0.604  0.751  0.041
Sn  0.499  0.251  0.251
Sn  0.750  0.500  0.500
Sn  0.501  0.749  0.749
Sn  0.250  0.500  0.500
Sn  0.104  0.041  0.751
Sn  0.999  0.251  0.251
Sn  0.396  0.249  0.959
Sn  0.896  0.959  0.249
Sr  0.132  0.616  0.119
Sr  0.368  0.881  0.384
Sr  0.632  0.119  0.616
Sr  0.868  0.384  0.881
Cu  0.127  0.246  0.500
Cu  0.627  0.500  0.246
Cu  0.750  0.000  0.000
Cu  0.873  0.754  0.500
Cu  0.373  0.500  0.754
Cu  0.250  0.000  0.000

Energy   -3.897 eV/atom
Formation energy   -3.300 eV/f.u.
M_tot   0.0 μB per formula unit


Among the records above, which one has the highest energy?
SrCuSn2